Record 1
# Ta2TcCl | Alexandria via LeMat-Bulk | PBE | optimized geometry
# polymorph energy (0 for the lowest one) = 1.04 eV/f.u.
# formation energy (no corrections) = 136 meV/atom
# space group = C2/m (12)
# VASP energy = -35.37 eV for the cell shown
data_Ta2TcCl
_space_group_name_H-M_alt 'P 1'
_space_group_IT_number 1
_space_group_name_Hall 'P 1'
_cell_length_a 4.1208
_cell_length_b 4.1208
_cell_length_c 8.0626
_cell_angle_alpha 64.34
_cell_angle_beta 64.34
_cell_angle_gamma 43.64
loop_
_atom_site_label
_atom_site_fract_x
_atom_site_fract_y
_atom_site_fract_z
Cl1 0.2500 0.2500 0.2500
Ta1 0.9391 0.9391 0.9356
Ta2 0.5609 0.5609 0.5644
Tc1 0.7500 0.7500 0.7500



Record 2
# TaTc2Cl | Alexandria via LeMat-Bulk | PBE | optimized geometry
# polymorph energy (0 for the lowest one) = 0.56 eV/f.u.
# formation energy (no corrections) = 232 meV/atom
# space group = R-3m (166)
# VASP energy = -33.50 eV for the cell shown
data_TaTc2Cl
_space_group_name_H-M_alt 'P 1'
_space_group_IT_number 1
_space_group_name_Hall 'P 1'
_cell_length_a 8.4148
_cell_length_b 8.4148
_cell_length_c 8.4148
_cell_angle_alpha 20.88
_cell_angle_beta 20.88
_cell_angle_gamma 20.88
loop_
_atom_site_label
_atom_site_fract_x
_atom_site_fract_y
_atom_site_fract_z
Cl1 0.2500 0.2500 0.2500
Ta1 0.7500 0.7500 0.7500
Tc1 0.0021 0.0021 0.0021
Tc2 0.4979 0.4979 0.4979



Record 3
# TaTc2Cl | Alexandria via LeMat-Bulk | PBE | optimized geometry
# polymorph energy (0 for the lowest one) = 1.43 eV/f.u.
# formation energy (no corrections) = 450 meV/atom
# space group = Pmmm (47)
# VASP energy = -32.63 eV for the cell shown
data_TaTc2Cl
_space_group_name_H-M_alt 'P 1'
_space_group_IT_number 1
_space_group_name_Hall 'P 1'
_cell_length_a 3.0031
_cell_length_b 4.1745
_cell_length_c 5.1775
_cell_angle_alpha 90.00
_cell_angle_beta 90.00
_cell_angle_gamma 90.00
loop_
_atom_site_label
_atom_site_fract_x
_atom_site_fract_y
_atom_site_fract_z
Cl1 0.5000 0.5000 0.2500
Ta1 0.5000 0.5000 0.7500
Tc1 0.0000 0.0000 0.9813
Tc2 0.0000 0.0000 0.5187



- Among the records above, which one has the highest polymorph energy (0 for the lowest one)?
  number 3



- Which of these has the lowest formation energy (no corrections)?
  Ta2TcCl